(1)
Entry from Alexandria via LeMat-Bulk: crystalline Y2Cl at its relaxed geometry (PBE).

Cell: 7.2455 7.2455 7.2455 Å, 152.34 152.34 39.52°
Positions (direct):
Cl  0.0000  0.0000  0.0000
Y  0.3394  0.3394  0.0000
Y  0.6606  0.6606  0.0000

Summary:
Space-group type: I4/mmm (139)
Total magnetization: 0.00 μB per cell
DOS(E_F): 3.448 states/eV/f.u.
Energy: -5.6353 eV/atom



(2)
Entry from Alexandria via LeMat-Bulk: crystalline Li6H5F at its relaxed geometry (PBE).

Cell: 4.9431 4.9424 4.9403 Å, 59.99 80.38 70.49°
Positions (direct):
Li  0.7494  0.0835  0.3328
Li  0.2506  0.5837  0.3328
Li  0.2486  0.2495  0.0000
Li  0.7514  0.7505  0.0000
Li  0.7494  0.4163  0.6672
Li  0.2506  0.9165  0.6672
H  0.5000  0.1679  0.6643
H  0.0000  0.3334  0.3331
H  0.5000  0.5000  0.0000
H  0.0000  0.6666  0.6669
H  0.5000  0.8321  0.3357
F  0.0000  0.0000  0.0000

Summary:
Space-group type: C2/m (12)
Total magnetization: 0.00 μB per cell
DOS(E_F): 0.000 states/eV/f.u.
Energy: -3.3435 eV/atom



(3)
Entry from Alexandria via LeMat-Bulk: crystalline Li2PrAg9 at its relaxed geometry (PBE).

Cell: 5.5593 5.5593 9.8093 Å, 73.54 73.54 60.00°
Positions (direct):
Li  0.8519  0.8519  0.4444
Li  0.1481  0.1481  0.5556
Pr  0.0000  0.0000  0.0000
Ag  0.6670  0.6670  0.9991
Ag  0.3330  0.3330  0.0009
Ag  0.5000  0.5000  0.5000
Ag  0.4131  0.4131  0.2567
Ag  0.9171  0.4131  0.2567
Ag  0.4131  0.9171  0.2567
Ag  0.5869  0.5869  0.7433
Ag  0.5869  0.0829  0.7433
Ag  0.0829  0.5869  0.7433

Summary:
Space-group type: R-3m (166)
E_form: -0.10 eV/atom
Total magnetization: 0.00 μB per cell
DOS(E_F): 4.351 states/eV/f.u.
Energy: -2.9537 eV/atom



(4)
Entry from Alexandria via LeMat-Bulk: crystalline TlSb4Au4 at its relaxed geometry (PBE).

Cell: 5.5126 7.7979 6.3249 Å, 76.48 64.16 69.30°
Positions (direct):
Tl  0.0000  0.0000  0.0000
Sb  0.6538  0.5448  0.1476
Sb  0.3462  0.4552  0.8524
Sb  0.2500  0.1509  0.3490
Sb  0.7500  0.8491  0.6510
Au  0.9541  0.3693  0.7224
Au  0.0459  0.6307  0.2776
Au  0.3324  0.7827  0.5525
Au  0.6676  0.2173  0.4475

Summary:
Space-group type: C2/m (12)
Total magnetization: 0.00 μB per cell
DOS(E_F): 3.667 states/eV/f.u.
Energy: -3.5707 eV/atom



(5)
Entry from Alexandria via LeMat-Bulk: crystalline ZnRe2Pt at its relaxed geometry (PBE).

Cell: 4.8738 4.8738 4.6796 Å, 81.08 81.08 32.83°
Positions (direct):
Pt  0.7500  0.7500  0.7500
Re  0.0035  0.0035  0.0014
Re  0.4965  0.4965  0.4986
Zn  0.2500  0.2500  0.2500

Summary:
Space-group type: C2/m (12)
E_form: 0.03 eV/atom
Total magnetization: 0.00 μB per cell
DOS(E_F): 2.648 states/eV/f.u.
Energy: -8.0208 eV/atom



(6)
Entry from Alexandria via LeMat-Bulk: crystalline CoAg2Pd2 at its relaxed geometry (PBE).

Cell: 6.3719 6.3719 4.2212 Å, 90.00 90.00 90.00°
Each line ends with the local moment (μB).
Positions (direct):
Co  0.0000  0.0000  0.0000  2.18
Co  0.5000  0.5000  0.0000  2.18
Pd  0.3553  0.8553  0.0000  0.27
Pd  0.8553  0.6447  0.0000  0.25
Pd  0.6447  0.1447  0.0000  0.27
Pd  0.1447  0.3553  0.0000  0.25
Ag  0.1617  0.6617  0.5000  0.02
Ag  0.6617  0.8383  0.5000  0.02
Ag  0.8383  0.3383  0.5000  0.02
Ag  0.3383  0.1617  0.5000  0.02

Summary:
Space-group type: P4/mbm (127)
E_form: 0.32 eV/atom
Total magnetization: 5.42 μB per cell
DOS(E_F): 3.891 states/eV/f.u.
Energy: -4.3188 eV/atom



(7)
Entry from Alexandria via LeMat-Bulk: crystalline KRuCl2 at its relaxed geometry (PBE).

Cell: 4.8522 4.1447 4.8511 Å, 90.04 90.00 90.00°
Each line ends with the local moment (μB).
Positions (direct):
Ru  0.5000  0.9999  0.8752  1.56
K  0.0000  0.5000  0.3748  0.00
Cl  0.0000  0.0003  0.8748  0.05
Cl  0.5000  0.9998  0.3752  0.05

Summary:
Space-group type: P4/mmm (123)
Total magnetization: 1.77 μB per cell
DOS(E_F): 2.637 states/eV/f.u.
Energy: -3.9952 eV/atom



(8)
Entry from Alexandria via LeMat-Bulk: crystalline NpSi2Rh at its relaxed geometry (PBE).

Cell: 4.0529 4.0529 5.4676 Å, 68.25 68.25 60.00°
Each line ends with the local moment (μB).
Positions (direct):
Np  0.5000  0.5000  0.5000  3.60
Si  0.2859  0.2859  0.1422  -0.03
Si  0.7141  0.7141  0.8578  -0.03
Rh  0.0000  0.0000  0.0000  -0.05

Summary:
Space-group type: R-3m (166)
Total magnetization: 3.74 μB per cell
DOS(E_F): 8.680 states/eV/f.u.
Energy: -8.3283 eV/atom



(9)
Entry from Alexandria via LeMat-Bulk: crystalline SrCo4Sn12 at its relaxed geometry (PBE).

Cell: 8.0336 8.0336 8.0336 Å, 109.47 109.47 109.47°
Each line ends with the local moment (μB).
Positions (direct):
Sr  0.0000  0.0000  0.0000  0.00
Co  0.0000  0.5000  0.0000  0.23
Co  0.5000  0.0000  0.0000  0.23
Co  0.5000  0.5000  0.5000  0.23
Co  0.0000  0.0000  0.5000  0.23
Sn  0.8266  0.3335  0.1600  0.01
Sn  0.3335  0.5069  0.1734  0.01
Sn  0.8400  0.1734  0.6665  0.01
Sn  0.3335  0.1600  0.8266  0.01
Sn  0.1600  0.8266  0.3335  0.01
Sn  0.6665  0.4931  0.8266  0.01
Sn  0.5069  0.1734  0.3335  0.01
Sn  0.4931  0.8266  0.6665  0.01
Sn  0.6665  0.8400  0.1734  0.01
Sn  0.8266  0.6665  0.4931  0.01
Sn  0.1734  0.3335  0.5069  0.01
Sn  0.1734  0.6665  0.8400  0.01

Summary:
Space-group type: Im-3 (204)
E_form: -0.08 eV/atom
Total magnetization: 1.11 μB per cell
DOS(E_F): 18.708 states/eV/f.u.
Energy: -4.6781 eV/atom



(10)
Entry from Alexandria via LeMat-Bulk: crystalline PuInNiAu at its relaxed geometry (PBE).

Cell: 4.8544 4.8544 4.8544 Å, 60.00 60.00 60.00°
Each line ends with the local moment (μB).
Positions (direct):
Ni  0.5000  0.5000  0.5000  -0.21
In  0.7500  0.7500  0.7500  0.00
Au  0.0000  0.0000  0.0000  0.01
Pu  0.2500  0.2500  0.2500  5.11

Summary:
Space-group type: F-43m (216)
E_form: -0.18 eV/atom
Total magnetization: 5.14 μB per cell
DOS(E_F): 14.165 states/eV/f.u.
Energy: -6.7081 eV/atom



(11)
Entry from Alexandria via LeMat-Bulk: crystalline Th6P5S at its relaxed geometry (PBE).

Cell: 7.1540 7.1401 7.1485 Å, 60.04 80.40 70.49°
Positions (direct):
P  0.5000  0.1663  0.6674
P  0.0000  0.3334  0.3332
P  0.5000  0.5000  0.0000
P  0.0000  0.6666  0.6668
P  0.5000  0.8337  0.3326
S  0.0000  0.0000  0.0000
Th  0.7483  0.0839  0.3360
Th  0.2517  0.5801  0.3360
Th  0.2517  0.2520  0.0000
Th  0.7483  0.7480  0.0000
Th  0.7483  0.4199  0.6640
Th  0.2517  0.9161  0.6640

Summary:
Space-group type: C2/m (12)
Total magnetization: 0.00 μB per cell
DOS(E_F): 7.041 states/eV/f.u.
Energy: -7.9216 eV/atom



(12)
Entry from Alexandria via LeMat-Bulk: crystalline RbMn2NiCl8 at its relaxed geometry (PBE).

Cell: 6.3897 6.3897 9.1241 Å, 90.00 90.00 120.00°
Each line ends with the local moment (μB).
Positions (direct):
Rb  0.0000  0.0000  0.0000  0.00
Mn  0.6667  0.3333  0.2889  4.08
Mn  0.3333  0.6667  0.7111  4.08
Ni  0.0000  0.0000  0.5000  1.28
Cl  0.3333  0.6667  0.9574  0.05
Cl  0.2959  0.3046  0.3461  0.09
Cl  0.6954  0.9913  0.3461  0.09
Cl  0.6667  0.3333  0.0426  0.05
Cl  0.3046  0.0087  0.6539  0.09
Cl  0.7041  0.6954  0.6539  0.09
Cl  0.9913  0.2959  0.6539  0.09
Cl  0.0087  0.7041  0.3461  0.09

Summary:
Space-group type: P-3 (147)
Total magnetization: 11.00 μB per cell
DOS(E_F): 6.856 states/eV/f.u.
Energy: -4.3330 eV/atom